# 1
Below is a geometry-optimized NdTa2O6F structure, with properties calculated at the PBEsol level.

Structure (extended XYZ):
```
20
Lattice="7.2969 0.0000 0.0000 3.6484 6.4006 -0.0055 3.6484 1.9760 6.0880" Properties=species:S:1:pos:R:3 pbc="T T T"
Nd 7.2969 4.1883 3.0412
Nd 3.6484 0.0000 0.0000
Ta 0.0000 0.0000 0.0000
Ta 3.6484 4.1883 3.0412
Ta 5.4727 3.2003 -0.0027
Ta 1.8242 3.2003 -0.0027
O 3.6484 2.6360 4.2406
O 7.2969 3.8423 0.4634
O 5.8187 1.2948 0.3406
O 5.1267 4.9130 4.1671
O 9.4671 4.9130 4.1671
O 1.4782 1.2948 0.3406
O 10.9453 5.7406 1.8419
O 7.2969 4.5343 5.6190
O 8.7751 7.0818 5.7419
O 9.4671 3.4637 1.9154
O 5.1267 3.4637 1.9154
O 13.1156 7.0818 5.7419
F 7.2969 6.2560 2.2161
F 7.2969 2.1206 3.8664
```

Computed properties:
Formation energy from raw total energies ... -3.13 eV per atom
Density ... 7.25 Mg/m³
Uncorrected energy ... -95.006 eV/f.u.


# 2
Below is a geometry-optimized Cd2TcCl structure, with properties calculated at the PBEsol level.

Structure (extended XYZ):
```
4
Lattice="-1.7485 1.1778 2.1588 -1.3935 -2.6759 0.3313 5.5702 -2.1938 5.7106" Properties=species:S:1:pos:R:3 pbc="T T T"
Cl -1.5710 -0.7491 1.2450
Tc 2.0883 -2.4349 3.0210
Cd 3.1852 -1.0101 5.2396
Cd 0.6366 -0.0059 2.6297
```

Computed properties:
Formation energy from raw total energies ... 0.17 eV per atom
Density ... 7.85 Mg/m³
Uncorrected energy ... -15.000 eV/f.u.


# 3
Below is a geometry-optimized YZn2P2 structure, with properties calculated at the PBEsol level.

Structure (extended XYZ):
```
5
Lattice="-1.5423 -3.7196 -0.1746 2.0922 1.4626 -3.1190 5.3715 -2.3448 2.5037" Properties=species:S:1:pos:R:3 pbc="T T T"
Y 0.0000 0.0000 0.0000
P 4.8438 -1.9948 -0.2903
P 1.0777 -2.6070 -0.4996
Zn 2.7731 -1.0909 -1.2555
Zn 3.1483 -3.5109 0.4656
```

Computed properties:
DFT formation energy ... -696 meV/atom
Density ... 5.22 Mg/m³
Uncorrected energy ... -25.051 eV/f.u.


# 4
Below is a geometry-optimized SrTa2P structure, with properties calculated at the PBEsol level.

Structure (extended XYZ):
```
4
Lattice="-0.0627 2.6541 1.9575 -3.2856 -0.2189 0.1916 0.6473 -4.4357 6.0347" Properties=species:S:1:pos:R:3 pbc="T T T"
P -1.6741 1.2176 1.0746
Sr -1.3505 -1.0003 4.0919
Ta 0.5400 -3.7004 5.0343
Ta 0.1073 -0.7353 1.0003
```

Computed properties:
DFT formation energy ... 177 meV/atom
Density ... 9.76 Mg/m³
Uncorrected energy ... -32.026 eV/f.u.


# 5
Below is a geometry-optimized CoPOs2 structure, with properties calculated at the PBEsol level.

Structure (extended XYZ):
```
4
Lattice="2.7515 0.0000 0.0000 1.3757 2.3828 0.0000 1.3757 0.7943 7.7466" Properties=species:S:1:pos:R:3 pbc="T T T"
Co 0.0000 0.0000 0.0000
Os 1.3757 0.7943 2.0508
Os 4.1272 2.3828 5.6958
P 2.7515 1.5886 3.8733
```

Computed properties:
DFT formation energy ... 149 meV/atom
Density ... 15.38 Mg/m³
Uncorrected energy ... -37.365 eV/f.u.


# 6
Below is a geometry-optimized TlZnRe structure, with properties calculated at the PBEsol level.

Structure (extended XYZ):
```
3
Lattice="-2.2374 1.6891 -0.3907 -0.4727 -2.4693 -1.3004 -1.5581 -2.1208 6.6723" Properties=species:S:1:pos:R:3 pbc="T T T"
Re -4.1971 -2.8397 4.8390
Tl -2.3135 -1.2162 1.0714
Zn -2.0258 -1.7461 4.0518
```

Computed properties:
DFT formation energy ... 772 meV/atom
Density ... 14.32 Mg/m³
Uncorrected energy ... -15.228 eV/f.u.


# 7
Below is a geometry-optimized Zr2TaTl structure, with properties calculated at the PBEsol level.

Structure (extended XYZ):
```
4
Lattice="3.1063 0.0000 0.0154 0.0000 5.0455 0.0000 -0.3993 0.0000 5.2973" Properties=species:S:1:pos:R:3 pbc="T T T"
Ta 0.9653 0.0000 2.3625
Tl 0.8589 2.5227 4.2275
Zr 2.5328 0.0000 5.0199
Zr 2.4105 2.5227 1.6719
```

Computed properties:
DFT formation energy ... 45 meV/atom
Density ... 11.35 Mg/m³
Uncorrected energy ... -33.181 eV/f.u.


# 8
Below is a geometry-optimized BaTl2In structure, with properties calculated at the PBEsol level.

Structure (extended XYZ):
```
4
Lattice="5.0658 0.0000 0.0000 -2.5329 4.3768 -0.0576 0.0000 -2.8492 5.8620" Properties=species:S:1:pos:R:3 pbc="T T T"
Tl 0.0000 0.0009 0.1284
Tl 0.0000 0.0538 4.7445
Ba 0.0000 2.9537 2.8544
In 2.5329 1.4715 0.9506
```

Computed properties:
DFT formation energy ... -295 meV/atom
Density ... 8.50 Mg/m³
Uncorrected energy ... -11.572 eV/f.u.


# 9
Below is a geometry-optimized CaLa2HgAs structure, with properties calculated at the PBEsol level.

Structure (extended XYZ):
```
5
Lattice="-2.4410 0.0921 -4.6529 3.0367 -4.5404 -1.6830 -4.0496 -3.4704 2.0558" Properties=species:S:1:pos:R:3 pbc="T T T"
As 0.0000 0.0000 0.0000
Ca -1.7270 -3.9594 -2.1400
Hg -1.2205 0.0461 -2.3264
La -2.0248 -1.7352 1.0279
La 1.5183 -2.2702 -0.8415
```

Computed properties:
DFT formation energy ... -246 meV/atom
Density ... 5.74 Mg/m³
Uncorrected energy ... -19.728 eV/f.u.


# 10
Below is a geometry-optimized ZnMo2Se structure, with properties calculated at the PBEsol level.

Structure (extended XYZ):
```
4
Lattice="3.2190 0.0000 0.0000 0.0000 4.3471 0.0000 -1.6095 -2.1736 4.3031" Properties=species:S:1:pos:R:3 pbc="T T T"
Mo 0.0000 0.0000 0.0570
Mo 1.6095 0.0000 2.2086
Se 0.0000 0.0000 4.2005
Zn 0.0000 2.1736 2.1400
```

Computed properties:
Formation energy from raw total energies ... 0.26 eV per atom
Density ... 9.27 Mg/m³
Uncorrected energy ... -27.914 eV/f.u.


# 11
Below is a geometry-optimized La2CuAs structure, with properties calculated at the PBEsol level.

Structure (extended XYZ):
```
4
Lattice="5.0166 0.0000 0.0000 2.5083 4.3445 0.0000 2.5083 1.4482 4.0960" Properties=species:S:1:pos:R:3 pbc="T T T"
As 5.0166 2.8963 2.0480
Cu 2.5083 1.4482 1.0240
La 0.0000 0.0000 0.0000
La 7.5249 4.3445 3.0720
```

Computed properties:
DFT formation energy ... -82 meV/atom
Density ... 7.74 Mg/m³
Uncorrected energy ... -20.463 eV/f.u.


# 12
Below is a geometry-optimized KRb2Tc2 structure, with properties calculated at the PBEsol level.

Structure (extended XYZ):
```
5
Lattice="5.5894 0.0000 0.0000 0.0000 5.5894 0.0000 -2.7947 -2.7947 7.1703" Properties=species:S:1:pos:R:3 pbc="T T T"
K 0.0000 0.0000 0.0000
Tc 0.0000 0.0000 6.1771
Tc 2.7947 2.7947 0.9932
Rb 0.0000 2.7947 3.5851
Rb 2.7947 0.0000 3.5851
```

Computed properties:
DFT formation energy ... 1515 meV/atom
Density ... 3.01 Mg/m³
Uncorrected energy ... -18.142 eV/f.u.


# 13
Below is a geometry-optimized Ba10Ti8NbNiO30 structure, with properties calculated at the PBEsol level.

Structure (extended XYZ):
```
50
Lattice="5.6261 0.0000 0.0000 0.0000 5.6261 0.0000 -2.8131 -2.8131 20.1306" Properties=species:S:1:pos:R:3 pbc="T T T"
Ba 0.0000 2.8131 14.0853
Ba 2.8131 0.0000 18.0976
Ba 2.8131 0.0000 2.0330
Ba 0.0000 2.8131 6.0453
Ba 2.8131 0.0000 10.0653
Ba 0.0000 2.8131 18.0976
Ba 0.0000 2.8131 2.0330
Ba 2.8131 0.0000 6.0453
Ba 0.0000 2.8131 10.0653
Ba 2.8131 0.0000 14.0853
Ti 0.0000 0.0000 3.9409
Ti 2.8131 2.8131 8.1398
Ti 0.0000 0.0000 11.9908
Ti 2.8131 2.8131 16.1897
Ti 2.8131 2.8131 4.1191
Ti 0.0000 0.0000 7.9655
Ti 2.8131 2.8131 12.1651
Ti 0.0000 0.0000 16.0115
Nb 2.8131 2.8131 0.0000
Ni 0.0000 0.0000 0.0000
O 2.8131 2.8131 14.0507
O 0.0000 0.0000 18.1126
O 0.0000 0.0000 2.0580
O 2.8131 2.8131 6.0061
O 0.0000 0.0000 10.1093
O -1.4075 1.4075 16.0963
O 4.2348 1.3913 0.0000
O 1.4055 4.2206 4.0343
O 4.2206 1.4055 8.0539
O 1.4075 -1.4075 12.0767
O -1.4075 -1.4075 16.0963
O 4.2348 4.2348 0.0000
O 1.4055 1.4055 4.0343
O 4.2206 4.2206 8.0539
O 1.4075 1.4075 12.0767
O 2.8131 2.8131 18.0726
O 2.8131 2.8131 2.0180
O 0.0000 0.0000 6.0799
O 2.8131 2.8131 10.0213
O 0.0000 0.0000 14.1245
O 1.4075 -1.4075 16.0963
O 1.3913 4.2348 0.0000
O 4.2206 1.4055 4.0343
O 1.4055 4.2206 8.0539
O -1.4075 1.4075 12.0767
O 1.4075 1.4075 16.0963
O 1.3913 1.3913 0.0000
O 4.2206 4.2206 4.0343
O 1.4055 1.4055 8.0539
O -1.4075 -1.4075 12.0767
```

Computed properties:
Formation energy from raw total energies ... -2.97 eV per atom
Density ... 6.22 Mg/m³
Uncorrected energy ... -411.056 eV/f.u.


# 14
Below is a geometry-optimized TlCuRu2 structure, with properties calculated at the PBEsol level.

Structure (extended XYZ):
```
4
Lattice="-1.0695 1.6478 -3.3268 0.8999 -3.2438 -1.8960 -3.7574 -1.3559 0.5364" Properties=species:S:1:pos:R:3 pbc="T T T"
Cu -1.8787 -0.6779 0.2682
Ru 0.4499 -1.6219 -0.9480
Ru -0.5348 0.8239 -1.6634
Tl -1.9636 -1.4759 -2.3432
```

Computed properties:
DFT formation energy ... 645 meV/atom
Density ... 12.97 Mg/m³
Uncorrected energy ... -24.728 eV/f.u.


# 15
Below is a geometry-optimized SrCaTl4 structure, with properties calculated at the PBEsol level.

Structure (extended XYZ):
```
6
Lattice="6.3075 0.0000 0.0000 3.1537 5.4624 0.0000 3.1537 1.8208 5.1500" Properties=species:S:1:pos:R:3 pbc="T T T"
Sr 0.0000 0.0000 0.0000
Tl 4.7333 2.7328 1.9324
Tl 6.3075 3.6416 4.5030
Tl 7.8817 2.7328 1.9324
Tl 6.3075 5.4594 1.9324
Ca 9.4612 5.4624 3.8625
```

Computed properties:
DFT formation energy ... -290 meV/atom
Density ... 8.85 Mg/m³
Uncorrected energy ... -16.234 eV/f.u.


# 16
Below is a geometry-optimized Th2Ga structure, with properties calculated at the PBEsol level.

Structure (extended XYZ):
```
6
Lattice="-0.1542 4.2878 3.8500 -4.6229 0.2940 3.8032 2.5554 -0.8418 5.3557" Properties=species:S:1:pos:R:3 pbc="T T T"
Th -2.6301 3.4270 9.0254
Th 0.4085 0.3130 3.9836
Th -1.9460 2.8172 5.4160
Th -0.2756 0.9227 7.5929
Ga -0.0385 1.0720 0.9625
Ga -0.1156 3.2159 2.8875
```

Computed properties:
DFT formation energy ... -382 meV/atom
Density ... 11.14 Mg/m³
Uncorrected energy ... -20.699 eV/f.u.


# 17
Below is a geometry-optimized Ti3Si structure, with properties calculated at the PBEsol level.

Structure (extended XYZ):
```
8
Lattice="4.4660 0.0000 0.0000 0.0000 5.5784 0.0000 0.0000 -2.7892 4.8310" Properties=species:S:1:pos:R:3 pbc="T T T"
Si 1.1165 0.0000 3.2207
Si 3.3495 2.7892 1.6103
Ti 1.1165 4.1423 0.8291
Ti 1.1165 2.7892 3.1728
Ti 1.1165 1.4361 0.8291
Ti 3.3495 -1.3531 4.0019
Ti 3.3495 0.0000 1.6582
Ti 3.3495 1.3531 4.0019
```

Computed properties:
Formation energy from raw total energies ... -0.51 eV per atom
Density ... 4.74 Mg/m³
Uncorrected energy ... -32.741 eV/f.u.


# 18
Below is a geometry-optimized MoRuW2 structure, with properties calculated at the PBEsol level.

Structure (extended XYZ):
```
4
Lattice="-2.8261 1.0187 0.8597 -0.7789 -2.8974 0.8729 2.1379 1.1369 5.6811" Properties=species:S:1:pos:R:3 pbc="T T T"
Mo -1.8025 -0.9394 0.8663
Ru -0.7336 -0.3709 3.7069
W 1.6150 0.8588 4.2915
W 0.5229 0.2781 1.3896
```

Computed properties:
DFT formation energy ... 162 meV/atom
Density ... 15.55 Mg/m³
Uncorrected energy ... -48.909 eV/f.u.


# 19
Below is a geometry-optimized SeBr structure, with properties calculated at the PBEsol level.

Structure (extended XYZ):
```
4
Lattice="-1.7329 -1.1263 -3.0130 -3.3305 -1.0303 2.3007 -2.5242 6.4770 -0.9695" Properties=species:S:1:pos:R:3 pbc="T T T"
Br -2.4509 1.6270 -0.3063
Br -5.1367 2.6934 -1.3756
Se -5.9300 4.4116 0.6537
Se -1.6576 -0.0912 -2.3356
```

Computed properties:
Formation energy from raw total energies ... 0.08 eV per atom
Density ... 4.93 Mg/m³
Uncorrected energy ... -5.552 eV/f.u.


# 20
Below is a geometry-optimized TlHgMoAs2 structure, with properties calculated at the PBEsol level.

Structure (extended XYZ):
```
5
Lattice="4.7996 0.0000 0.0000 0.0000 4.7996 0.0000 0.0000 0.0000 5.4275" Properties=species:S:1:pos:R:3 pbc="T T T"
Mo 0.0000 0.0000 0.0000
As 0.0000 2.3998 0.0000
As 2.3998 0.0000 0.0000
Tl 2.3998 2.3998 2.7138
Hg 0.0000 0.0000 2.7138
```

Computed properties:
DFT formation energy ... 241 meV/atom
Density ... 8.64 Mg/m³
Uncorrected energy ... -23.973 eV/f.u.


# 21
Below is a geometry-optimized MoIrPt structure, with properties calculated at the PBEsol level.

Structure (extended XYZ):
```
3
Lattice="2.7381 0.0000 0.0000 0.0000 2.7381 0.0000 -1.3691 -1.3691 5.8643" Properties=species:S:1:pos:R:3 pbc="T T T"
Mo 0.0000 0.0000 3.9591
Ir 1.3691 1.3691 5.7771
Pt 1.3691 1.3691 1.9925
```

Computed properties:
DFT formation energy ... -282 meV/atom
Density ... 18.25 Mg/m³
Uncorrected energy ... -29.401 eV/f.u.


# 22
Below is a geometry-optimized ZrFe2Tc structure, with properties calculated at the PBEsol level.

Structure (extended XYZ):
```
4
Lattice="3.1324 0.0000 0.0000 0.0000 4.2658 0.0000 -1.5662 -2.1329 4.2355" Properties=species:S:1:pos:R:3 pbc="T T T"
Fe 1.5662 2.1329 2.1988
Fe 0.0000 0.0000 2.0367
Tc 1.5662 0.0000 0.0000
Zr 0.0000 2.1329 0.0000
```

Computed properties:
DFT formation energy ... 58 meV/atom
Density ... 8.83 Mg/m³
Uncorrected energy ... -38.053 eV/f.u.


# 23
Below is a geometry-optimized ThGaPt structure, with properties calculated at the PBEsol level.

Structure (extended XYZ):
```
9
Lattice="-2.2082 0.4108 -3.4131 1.3813 -6.8988 -1.7240 -5.8316 1.6432 3.9706" Properties=species:S:1:pos:R:3 pbc="T T T"
Th -0.2967 -3.8270 -2.7142
Th -2.9532 -1.9783 -0.7731
Th -4.5127 1.1659 0.6143
Ga 0.3321 -1.6587 -0.4145
Ga -3.3804 -3.9920 1.7065
Ga -1.4021 0.3951 0.9546
Pt -3.4273 -1.2041 2.0724
Pt -1.0230 -4.0515 0.1742
Pt -1.1041 0.2054 -1.7066
```

Computed properties:
DFT formation energy ... -1061 meV/atom
Density ... 13.33 Mg/m³
Uncorrected energy ... -21.594 eV/f.u.


# 24
Below is a geometry-optimized MoSe2S structure, with properties calculated at the PBEsol level.

Structure (extended XYZ):
```
4
Lattice="-0.3954 0.1351 -3.3250 2.6105 -0.5705 -2.0224 -1.0522 -7.9666 -1.8874" Properties=species:S:1:pos:R:3 pbc="T T T"
Mo 0.5814 -4.2010 -3.6174
S 0.0000 0.0000 0.0000
Se 1.6876 -2.7395 -5.3783
Se -0.5247 -5.6625 -1.8565
```

Computed properties:
Formation energy from raw total energies ... 0.00 eV per atom
Density ... 6.08 Mg/m³
Uncorrected energy ... -23.864 eV/f.u.


# 25
Below is a geometry-optimized CrRuI2N structure, with properties calculated at the PBEsol level.

Structure (extended XYZ):
```
5
Lattice="3.4652 0.0000 0.0000 0.0000 5.2215 0.0000 0.0000 0.0000 5.2215" Properties=species:S:1:pos:R:3 pbc="T T T"
I 0.0000 0.0000 2.6107
I 0.0000 2.6107 0.0000
Ru 1.7326 2.6107 2.6107
N 1.7326 0.0000 0.0000
Cr 0.0000 0.0000 0.0000
```

Computed properties:
Formation energy from raw total energies ... 0.80 eV per atom
Density ... 7.40 Mg/m³
Uncorrected energy ... -28.479 eV/f.u.


# 26
Below is a geometry-optimized CdGa2Bi structure, with properties calculated at the PBEsol level.

Structure (extended XYZ):
```
4
Lattice="-4.3221 1.5493 -2.1524 -4.4576 -1.3740 1.9888 -2.9036 3.4405 2.3336" Properties=species:S:1:pos:R:3 pbc="T T T"
Bi -5.8416 1.8079 1.0850
Ga -2.9208 0.9040 0.5425
Ga -8.7624 2.7119 1.6275
Cd 0.0000 0.0000 0.0000
```

Computed properties:
DFT formation energy ... 96 meV/atom
Density ... 8.30 Mg/m³
Uncorrected energy ... -11.778 eV/f.u.